VASP calculation (GGA-PBE) on crystalline Pr2MgAu4 at its relaxed geometry. Values from VASP.

Volume, Å³ per atom: 25.66
Energy of formation from the pure elements, eV/atom: -0.60
DOS(E_F), states/eV/cell: 6.59
Density, g/cm³: 10.1
Calculated total energy, eV per atom: -4.070

Cell and atoms, written as Quantum ESPRESSO input:
```
&SYSTEM
  ibrav = 0, nat = 7, ntyp = 3
/
ATOMIC_SPECIES
Pr 140.91 Pr.upf
Mg 24.30 Mg.upf
Au 196.97 Au.upf
ATOMIC_POSITIONS crystal
Pr 0.245 0.245 0.245
Pr 0.755 0.755 0.755
Mg 0.000 0.000 0.000
Au 0.117 0.117 0.117
Au 0.372 0.372 0.372
Au 0.628 0.628 0.628
Au 0.883 0.883 0.883
CELL_PARAMETERS angstrom
2.537 1.465 8.057
-2.537 1.465 8.057
0.000 -2.929 8.057
```